DFT (GGA-PBE) results for a geometry-optimized Sm2Ho2CI5 structure.

Cell: 9.7787 9.7787 8.6549 Å, 102.50 102.50 23.47°
Fractional positions:
Sm (0.1323, 0.1323, 0.0658)
Sm (0.8677, 0.8677, 0.9342)
Ho (0.4995, 0.4995, 0.1871)
Ho (0.5005, 0.5005, 0.8129)
C (0.0000, 0.0000, 0.0000)
I (0.0000, 0.0000, 0.5000)
I (0.3352, 0.3352, 0.1882)
I (0.3394, 0.3394, 0.6526)
I (0.6606, 0.6606, 0.3474)
I (0.6648, 0.6648, 0.8118)

Summary:
The magnetization is 0.031 μB per cell. Its relative energy among the computed polymorphs is 11 meV/atom. The space group is C2/m.


DFT (GGA-PBE) results for a geometry-optimized ErTlCdS3 structure.

Cell: 7.4091 7.4091 10.6808 Å, 90.00 90.00 148.14°
Fractional positions:
Er (0.0000, 0.0000, 0.0000)
Er (0.0000, 0.0000, 0.5000)
Tl (0.2628, 0.7372, 0.7500)
Tl (0.7372, 0.2628, 0.2500)
Cd (0.4504, 0.5496, 0.2500)
Cd (0.5496, 0.4504, 0.7500)
S (0.0632, 0.9368, 0.2500)
S (0.3733, 0.6267, 0.0419)
S (0.3733, 0.6267, 0.4581)
S (0.6267, 0.3733, 0.5419)
S (0.6267, 0.3733, 0.9581)
S (0.9368, 0.0632, 0.7500)

Summary:
The magnetization is 0.012 μB per cell. Its relative energy among the computed polymorphs is 0 meV/atom. The space group is Cmcm.


DFT (GGA-PBE) results for a geometry-optimized LiZn2Au structure.

Cell: 4.3709 4.3709 8.1073 Å, 90.00 90.00 120.00°
Fractional positions:
Li (0.3333, 0.6667, 0.2500)
Li (0.6667, 0.3333, 0.7500)
Zn (0.3333, 0.6667, 0.5922)
Zn (0.3333, 0.6667, 0.9078)
Zn (0.6667, 0.3333, 0.0922)
Zn (0.6667, 0.3333, 0.4078)
Au (0.0000, 0.0000, 0.0000)
Au (0.0000, 0.0000, 0.5000)

Summary:
Its relative energy among the computed polymorphs is 105 meV/atom. The space group is P6_3/mmc.


DFT (GGA-PBE) results for a geometry-optimized Nd2Sm2CI2Cl3 structure.

Cell: 9.2561 9.2561 8.2319 Å, 100.25 100.25 24.66°
Fractional positions:
Nd (0.0059, 0.0059, 0.2900)
Nd (0.9941, 0.9941, 0.7100)
Sm (0.3609, 0.3609, 0.4333)
Sm (0.6391, 0.6391, 0.5667)
C (0.5000, 0.5000, 0.5000)
I (0.1684, 0.1684, 0.8597)
I (0.8316, 0.8316, 0.1403)
Cl (0.1717, 0.1717, 0.3453)
Cl (0.5000, 0.5000, 0.0000)
Cl (0.8283, 0.8283, 0.6547)

Summary:
The magnetization is 0.031 μB per cell. Its relative energy among the computed polymorphs is 18 meV/atom. The space group is C2/m.